A plane-wave DFT calculation with PBE was carried out for a relaxed structure of Pm6Dy2HoEr.

The total energy comes out at -4.57 eV/atom. The value obtained for the formation energy is 11.3 kJ per mole of atoms. The crystal system is monoclinic.

Unit cell a=8.9081 b=8.9081 c=9.6139 alpha=93.90 beta=93.90 gamma=117.88
With the nearest neighbours (Å) after each atom.
Fractional coordinates of all 20 atoms:
Pm (0.0126, 0.5662, 0.1872)  2 Pm 3.26-3.62, 1 Dy 3.45, 1 Ho 3.47, 1 Er 3.58
Pm (0.1186, 0.7610, 0.5544)  7 Pm 3.43-3.78, 1 Dy 3.47, 2 Er 3.66-3.83
Pm (0.2390, 0.8814, 0.9456)  7 Pm 3.43-3.78, 1 Dy 3.47, 2 Er 3.66-3.83
Pm (0.2912, 0.5078, 0.3815)  4 Pm 3.26-3.65, 3 Dy 3.28-3.46, 2 Ho 3.45-3.55
Pm (0.4338, 0.9874, 0.3128)  2 Pm 3.26-3.62, 1 Dy 3.45, 1 Ho 3.47, 1 Er 3.58
Pm (0.4922, 0.7088, 0.1185)  4 Pm 3.26-3.65, 3 Dy 3.28-3.46, 2 Ho 3.45-3.55
Pm (0.5078, 0.2912, 0.8815)  4 Pm 3.26-3.65, 3 Dy 3.28-3.46, 2 Ho 3.45-3.55
Pm (0.5662, 0.0126, 0.6872)  2 Pm 3.26-3.62, 1 Dy 3.45, 1 Ho 3.47, 1 Er 3.58
Pm (0.7088, 0.4922, 0.6185)  4 Pm 3.26-3.65, 3 Dy 3.28-3.46, 2 Ho 3.45-3.55
Pm (0.7610, 0.1186, 0.0544)  7 Pm 3.43-3.78, 1 Dy 3.47, 2 Er 3.66-3.83
Pm (0.8814, 0.2390, 0.4456)  7 Pm 3.43-3.78, 1 Dy 3.47, 2 Er 3.66-3.83
Pm (0.9874, 0.4338, 0.8128)  2 Pm 3.26-3.62, 1 Dy 3.45, 1 Ho 3.47, 1 Er 3.58
Dy (0.1993, 0.2986, 0.0452)  5 Pm 3.28-3.47, 2 Er 3.41-3.42, 1 Ho 3.54
Dy (0.2986, 0.1993, 0.5452)  5 Pm 3.28-3.47, 2 Er 3.41-3.42, 1 Ho 3.54
Dy (0.7014, 0.8007, 0.4548)  5 Pm 3.28-3.47, 2 Er 3.41-3.42, 1 Ho 3.54
Dy (0.8007, 0.7014, 0.9548)  5 Pm 3.28-3.47, 2 Er 3.41-3.42, 1 Ho 3.54
Ho (0.4102, 0.5898, 0.7500)  6 Pm 3.45-3.55, 2 Dy 3.54
Ho (0.5898, 0.4102, 0.2500)  6 Pm 3.45-3.55, 2 Dy 3.54
Er (0.0268, 0.9732, 0.2500)  4 Dy 3.41-3.42, 4 Pm 3.58-3.66
Er (0.9732, 0.0268, 0.7500)  4 Dy 3.41-3.42, 4 Pm 3.58-3.66